# UFeSbO6 GGA+U relaxed
# Energy, eV per atom: -7.638
data_UFeSbO6
_chemical_formula_sum 'U2 Fe2 Sb2 O12'
_cell_length_a 5.2840
_cell_length_b 5.2840
_cell_length_c 9.3278
_cell_angle_alpha 90.00
_cell_angle_beta 90.00
_cell_angle_gamma 120.00
_space_group_name_H-M_alt 'P -3 1 c'
_space_group_IT_number 163
_space_group_name_Hall '-P 3 2c'
loop_
_atom_site_label
_atom_site_fract_x
_atom_site_fract_y
_atom_site_fract_z
U1 0.3333 0.6667 0.2500
Fe1 0.3333 0.6667 0.7500
Sb1 0.0000 0.0000 0.0000
O1 0.0015 0.3207 0.6245